Compound: Sr2La2MgRu3O12
Source: the Alexandria database
Functional: PBE-GGA
Structure: optimized geometry

Theoretical density, Mg/m³: 6.4
Energy relative to the lowest polymorph listed for this composition, eV/f.u.: 0.25
Formation energy without anion corrections, meV per atom: -2166

a = 16.011 Å, b = 5.591 Å, c = 5.647 Å
α = 90.00°, β = 90.27°, γ = 90.00°
Fractional positions:
Sr  0.124  0.006  0.037
Sr  0.124  0.494  0.537
Sr  0.876  0.506  0.463
Sr  0.876  0.994  0.963
La  0.384  0.509  0.460
La  0.384  0.991  0.960
La  0.616  0.009  0.040
La  0.616  0.491  0.540
Mg  0.500  0.000  0.500
Mg  0.500  0.500  0.000
Ru  0.000  0.000  0.500
Ru  0.000  0.500  0.000
Ru  0.249  0.005  0.504
Ru  0.249  0.495  0.004
Ru  0.751  0.505  0.996
Ru  0.751  0.995  0.496
O  0.018  0.215  0.785
O  0.018  0.285  0.285
O  0.124  0.566  0.992
O  0.124  0.934  0.492
O  0.231  0.211  0.791
O  0.231  0.289  0.291
O  0.273  0.712  0.716
O  0.273  0.788  0.216
O  0.370  0.076  0.520
O  0.370  0.424  0.020
O  0.483  0.697  0.696
O  0.483  0.803  0.196
O  0.517  0.197  0.804
O  0.517  0.303  0.304
O  0.630  0.576  0.980
O  0.630  0.924  0.480
O  0.727  0.212  0.784
O  0.727  0.288  0.284
O  0.769  0.711  0.709
O  0.769  0.789  0.209
O  0.876  0.066  0.508
O  0.876  0.434  0.008
O  0.982  0.715  0.715
O  0.982  0.785  0.215


Compound: Sr2La2MgRu3O12
Source: the Alexandria database
Functional: PBE-GGA
Structure: optimized geometry

Theoretical density, Mg/m³: 6.4
Energy relative to the lowest polymorph listed for this composition, eV/f.u.: 0.00
Formation energy without anion corrections, meV per atom: -2179

a = 5.609 Å, b = 5.673 Å, c = 7.948 Å
α = 89.70°, β = 89.97°, γ = 89.96°
Fractional positions:
Sr  0.000  0.000  0.000
Sr  0.495  0.425  0.489
La  0.485  0.503  0.002
La  0.978  0.914  0.487
Mg  0.991  0.457  0.245
Ru  0.490  0.963  0.745
Ru  0.492  0.962  0.244
Ru  0.990  0.462  0.745
O  0.054  0.482  0.501
O  0.204  0.747  0.787
O  0.215  0.748  0.212
O  0.289  0.259  0.787
O  0.290  0.249  0.204
O  0.408  0.972  0.493
O  0.562  0.942  0.996
O  0.702  0.675  0.704
O  0.705  0.684  0.280
O  0.778  0.165  0.284
O  0.789  0.166  0.702
O  0.911  0.449  0.990


Compound: Sr2La4Mg2RuO12
Source: the Alexandria database
Functional: PBE-GGA
Structure: optimized geometry

Theoretical density, Mg/m³: 6.1
Formation energy without anion corrections, meV per atom: -2779

a = 19.240 Å, b = 19.240 Å, c = 19.240 Å
α = 168.36°, β = 168.36°, γ = 16.50°
Fractional positions:
Sr  0.049  0.049  0.000
Sr  0.951  0.951  0.000
La  0.287  0.287  0.000
La  0.378  0.378  0.000
La  0.622  0.622  0.000
La  0.713  0.713  0.000
Mg  0.167  0.167  0.000
Mg  0.833  0.833  0.000
Ru  0.500  0.500  0.000
O  0.000  0.500  0.500
O  0.110  0.110  0.000
O  0.167  0.667  0.500
O  0.226  0.226  0.000
O  0.333  0.833  0.500
O  0.444  0.444  0.000
O  0.500  0.000  0.500
O  0.556  0.556  0.000
O  0.667  0.167  0.500
O  0.774  0.774  0.000
O  0.833  0.333  0.500
O  0.890  0.890  0.000


Compound: Sr2La2MgRuO8
Source: the Alexandria database
Functional: PBE-GGA
Structure: optimized geometry

Theoretical density, Mg/m³: 6.0
Energy relative to the lowest polymorph listed for this composition, eV/f.u.: 0.55
Formation energy without anion corrections, meV per atom: -2590

a = 3.901 Å, b = 3.901 Å, c = 12.746 Å
α = 90.00°, β = 90.00°, γ = 90.00°
Fractional positions:
Sr  0.000  0.000  0.146
Sr  0.000  0.000  0.854
La  0.500  0.500  0.363
La  0.500  0.500  0.637
Mg  0.000  0.000  0.500
Ru  0.500  0.500  0.000
O  0.000  0.000  0.330
O  0.000  0.000  0.670
O  0.000  0.500  0.000
O  0.000  0.500  0.500
O  0.500  0.000  0.000
O  0.500  0.000  0.500
O  0.500  0.500  0.167
O  0.500  0.500  0.833


Compound: LaMgSc2O
Source: the Alexandria database
Functional: PBE-GGA
Structure: optimized geometry

Theoretical density, Mg/m³: 4.2
Formation energy without anion corrections, meV per atom: -1139

a = 4.572 Å, b = 4.572 Å, c = 5.057 Å
α = 90.00°, β = 90.00°, γ = 90.00°
Fractional positions:
La  0.000  0.000  0.000
Mg  0.500  0.500  0.000
Sc  0.000  0.500  0.500
Sc  0.500  0.000  0.500
O  0.000  0.000  0.500


Compound: La2MgScO6
Source: the Alexandria database
Functional: PBE-GGA
Structure: optimized geometry

Theoretical density, Mg/m³: 5.5
Formation energy without anion corrections, meV per atom: -3088

a = 5.655 Å, b = 5.827 Å, c = 9.815 Å
α = 90.00°, β = 124.83°, γ = 90.00°
Fractional positions:
La  0.235  0.052  0.249
La  0.235  0.448  0.749
La  0.765  0.552  0.251
La  0.765  0.948  0.751
Mg  0.000  0.000  0.500
Mg  0.000  0.500  0.000
Sc  0.500  0.000  0.000
Sc  0.500  0.500  0.500
O  0.148  0.201  0.948
O  0.148  0.299  0.448
O  0.245  0.703  0.946
O  0.245  0.797  0.446
O  0.350  0.037  0.749
O  0.350  0.463  0.249
O  0.650  0.537  0.751
O  0.650  0.963  0.251
O  0.755  0.203  0.554
O  0.755  0.297  0.054
O  0.852  0.701  0.552
O  0.852  0.799  0.052


Compound: La2MgSiO
Source: the Alexandria database
Functional: PBE-GGA
Structure: optimized geometry

Theoretical density, Mg/m³: 5.3
Formation energy without anion corrections, meV per atom: -1311

a = 5.070 Å, b = 5.070 Å, c = 4.216 Å
α = 90.00°, β = 90.00°, γ = 90.00°
Fractional positions:
La  0.000  0.500  0.000
La  0.500  0.000  0.000
Mg  0.000  0.000  0.500
Si  0.500  0.500  0.500
O  0.000  0.000  0.000


Compound: La2MgSnO6
Source: the Alexandria database
Functional: PBE-GGA
Structure: optimized geometry

Theoretical density, Mg/m³: 6.5
Formation energy without anion corrections, meV per atom: -2789

a = 5.688 Å, b = 5.688 Å, c = 5.688 Å
α = 60.87°, β = 60.87°, γ = 60.87°
Fractional positions:
La  0.250  0.250  0.250
La  0.750  0.750  0.750
Mg  0.000  0.000  0.000
Sn  0.500  0.500  0.500
O  0.163  0.747  0.339
O  0.253  0.661  0.837
O  0.339  0.163  0.747
O  0.661  0.837  0.253
O  0.747  0.339  0.163
O  0.837  0.253  0.661